No. 1
# ErHfSc2, relaxed, DFT PBE-GGA
# distance to the lowest polymorph of the same formula = 8.0 kJ/mol of atoms
data_ErHfSc2
_chemical_formula_sum 'Er1 Hf1 Sc2'
_cell_length_a 3.750
_cell_length_b 3.750
_cell_length_c 7.206
_cell_angle_alpha 90.00
_cell_angle_beta 90.00
_cell_angle_gamma 90.00
_space_group_name_H-M_alt 'P 1'
_space_group_IT_number 1
loop_
_space_group_symop_operation_xyz
'x,y,z'
loop_
_atom_site_label
_atom_site_fract_x
_atom_site_fract_y
_atom_site_fract_z
_atom_site_occupancy
Er1 0.000 0.000 0.000 1
Hf1 0.000 0.000 0.500 1
Sc1 0.500 0.500 0.281 1
Sc2 0.500 0.500 0.719 1

***

No. 2
# ErHfSc2, relaxed, DFT PBE-GGA
# distance to the lowest polymorph of the same formula = 4.2 kJ/mol of atoms
data_ErHfSc2
_chemical_formula_sum 'Er1 Hf1 Sc2'
_cell_length_a 4.650
_cell_length_b 4.650
_cell_length_c 4.596
_cell_angle_alpha 90.00
_cell_angle_beta 90.00
_cell_angle_gamma 90.00
_space_group_name_H-M_alt 'P 1'
_space_group_IT_number 1
loop_
_space_group_symop_operation_xyz
'x,y,z'
loop_
_atom_site_label
_atom_site_fract_x
_atom_site_fract_y
_atom_site_fract_z
_atom_site_occupancy
Er1 0.000 0.000 0.000 1
Hf1 0.500 0.500 0.000 1
Sc1 0.000 0.500 0.500 1
Sc2 0.500 0.000 0.500 1

***

No. 3
# ErHfSc2, relaxed, DFT PBE-GGA
# distance to the lowest polymorph of the same formula = 12.8 kJ/mol of atoms
data_ErHfSc2
_chemical_formula_sum 'Er1 Hf1 Sc2'
_cell_length_a 5.209
_cell_length_b 5.209
_cell_length_c 5.209
_cell_angle_alpha 60.00
_cell_angle_beta 60.00
_cell_angle_gamma 60.00
_space_group_name_H-M_alt 'P 1'
_space_group_IT_number 1
loop_
_space_group_symop_operation_xyz
'x,y,z'
loop_
_atom_site_label
_atom_site_fract_x
_atom_site_fract_y
_atom_site_fract_z
_atom_site_occupancy
Er1 0.000 0.000 0.000 1
Hf1 0.500 0.500 0.500 1
Sc1 0.250 0.250 0.250 1
Sc2 0.750 0.750 0.750 1

***

No. 4
# ErHfSc2, relaxed, DFT PBE-GGA
# distance to the lowest polymorph of the same formula = 1.1 kJ/mol of atoms
data_ErHfSc2
_chemical_formula_sum 'Er1 Hf1 Sc2'
_cell_length_a 10.911
_cell_length_b 10.911
_cell_length_c 10.911
_cell_angle_alpha 17.30
_cell_angle_beta 17.30
_cell_angle_gamma 17.30
_space_group_name_H-M_alt 'P 1'
_space_group_IT_number 1
loop_
_space_group_symop_operation_xyz
'x,y,z'
loop_
_atom_site_label
_atom_site_fract_x
_atom_site_fract_y
_atom_site_fract_z
_atom_site_occupancy
Er1 0.000 0.000 0.000 1
Hf1 0.500 0.500 0.500 1
Sc1 0.245 0.245 0.245 1
Sc2 0.755 0.755 0.755 1

***

No. 5
# ErHf2Sc, relaxed, DFT PBE-GGA
# distance to the lowest polymorph of the same formula = 2.8 kJ/mol of atoms
data_ErHf2Sc
_chemical_formula_sum 'Er2 Hf4 Sc2'
_cell_length_a 3.197
_cell_length_b 6.149
_cell_length_c 10.725
_cell_angle_alpha 74.80
_cell_angle_beta 88.60
_cell_angle_gamma 75.99
_space_group_name_H-M_alt 'P 1'
_space_group_IT_number 1
loop_
_space_group_symop_operation_xyz
'x,y,z'
loop_
_atom_site_label
_atom_site_fract_x
_atom_site_fract_y
_atom_site_fract_z
_atom_site_occupancy
Er1 0.000 0.000 0.000 1
Er2 0.500 0.500 0.000 1
Hf1 0.054 0.368 0.713 1
Hf2 0.368 0.753 0.515 1
Hf3 0.632 0.247 0.485 1
Hf4 0.946 0.632 0.287 1
Sc1 0.226 0.121 0.255 1
Sc2 0.774 0.879 0.745 1

***

No. 6
# Er2HfSc6, relaxed, DFT PBE-GGA
# distance to the lowest polymorph of the same formula = 0.0 kJ/mol of atoms
data_Er2HfSc6
_chemical_formula_sum 'Er2 Hf1 Sc6'
_cell_length_a 8.959
_cell_length_b 8.959
_cell_length_c 3.285
_cell_angle_alpha 90.00
_cell_angle_beta 90.00
_cell_angle_gamma 120.00
_space_group_name_H-M_alt 'P 1'
_space_group_IT_number 1
loop_
_space_group_symop_operation_xyz
'x,y,z'
loop_
_atom_site_label
_atom_site_fract_x
_atom_site_fract_y
_atom_site_fract_z
_atom_site_occupancy
Er1 0.333 0.667 0.000 1
Er2 0.667 0.333 0.000 1
Hf1 0.000 0.000 0.500 1
Sc1 0.000 0.296 0.000 1
Sc2 0.000 0.655 0.500 1
Sc3 0.296 0.000 0.000 1
Sc4 0.345 0.345 0.500 1
Sc5 0.655 0.000 0.500 1
Sc6 0.704 0.704 0.000 1

***

Computed energy of formation (eV per atom) in order:
0.144; 0.104; 0.193; 0.072; 0.115; 0.046